This record from Alexandria via LeMat-Bulk describes a relaxed BaMgIn2Ga crystal. The functional is GGA-PBE.

As for the crystal system: tetragonal. The calculation puts the formation energy at -161 kJ/mol of formula units. Its total moment is 0.0 Bohr magnetons per cell. The total energy comes out at -2.739 eV/atom.

It has space group I-4m2 (No. 119), with a = 4.8267 Å, b = 4.8267 Å, c = 12.2569 Å, α = 90.00°, β = 90.00° and γ = 90.00°. The distinct sites, in fractional coordinates, are Ba at (0.0000, 0.0000, 0.0000), Mg at (0.0000, 0.5000, 0.2500), In at (0.0000, 0.0000, 0.3814) and Ga at (0.0000, 0.5000, 0.7500).

---

This record from Alexandria via LeMat-Bulk describes a relaxed BaMg2In4Ga crystal. The functional is GGA-PBE.

As for the crystal system: trigonal. The calculation puts the formation energy at -144 kJ/mol of formula units. Its total moment is 0.0 Bohr magnetons per cell. The total energy comes out at -2.573 eV/atom.

It has space group R-3m (No. 166, hexagonal axes), with a = 5.1624 Å, b = 5.1624 Å, c = 29.1350 Å, α = 90.00°, β = 90.00° and γ = 120.00°. The distinct sites, in fractional coordinates, are Ba at (0.0000, 0.0000, 0.0000), Mg at (0.0000, 0.0000, 0.2379), In at (0.0000, 0.0000, 0.1300), In at (0.0000, 0.0000, 0.4038) and Ga at (0.0000, 0.0000, 0.5000).

---

This record from Alexandria via LeMat-Bulk describes a relaxed BaMgIn2Ga2 crystal. The functional is GGA-PBE.

As for the crystal system: trigonal. The calculation puts the formation energy at -167 kJ/mol of formula units. Its total moment is 0.0 Bohr magnetons per cell. The total energy comes out at -2.796 eV/atom.

It has space group P-3m1 (No. 164), with a = 4.8591 Å, b = 4.8591 Å, c = 7.7693 Å, α = 90.00°, β = 90.00° and γ = 120.00°. The distinct sites, in fractional coordinates, are Ba at (0.0000, 0.0000, 0.0000), Mg at (0.0000, 0.0000, 0.5000), In at (0.3333, 0.6667, 0.6852) and Ga at (0.3333, 0.6667, 0.2801).

---

This record from Alexandria via LeMat-Bulk describes a relaxed BaMgInGa crystal. The functional is GGA-PBE.

As for the crystal system: cubic. The calculation puts the formation energy at -87 kJ/mol of formula units. Its total moment is 0.0 Bohr magnetons per cell. The total energy comes out at -2.546 eV/atom.

It has space group F-43m (No. 216), with a = 7.7198 Å, b = 7.7198 Å, c = 7.7198 Å, α = 90.00°, β = 90.00° and γ = 90.00°. The distinct sites, in fractional coordinates, are Ba at (0.0000, 0.0000, 0.0000), Mg at (0.0000, 0.0000, 0.5000), In at (0.2500, 0.2500, 0.2500) and Ga at (0.2500, 0.2500, 0.7500).

---

This record from Alexandria via LeMat-Bulk describes a relaxed Ba2Mg3In4Ga crystal. The functional is GGA-PBE.

As for the crystal system: tetragonal. The calculation puts the formation energy at -291 kJ/mol of formula units. Its total moment is 0.0 Bohr magnetons per cell. The total energy comes out at -2.563 eV/atom.

It has space group P-4m2 (No. 115), with a = 4.8622 Å, b = 4.8622 Å, c = 12.3627 Å, α = 90.00°, β = 90.00° and γ = 90.00°. The distinct sites, in fractional coordinates, are Ba at (0.0000, 0.5000, 0.2410), Mg at (0.0000, 0.0000, 0.0000), Mg at (0.0000, 0.5000, 0.6379), In at (0.0000, 0.0000, 0.5000), In at (0.0000, 0.5000, 0.8705), In at (0.5000, 0.5000, 0.5000) and Ga at (0.5000, 0.5000, 0.0000).

---

This record from Alexandria via LeMat-Bulk describes a relaxed Ba2MgInGa crystal. The functional is GGA-PBE.

As for the crystal system: tetragonal. The calculation puts the formation energy at -10 kJ/mol of formula units. Its total moment is 0.0 Bohr magnetons per cell. The total energy comes out at -2.261 eV/atom.

It has space group P4/mmm (No. 123), with a = 6.4796 Å, b = 6.4796 Å, c = 5.1055 Å, α = 90.00°, β = 90.00° and γ = 90.00°. The distinct sites, in fractional coordinates, are Ba at (0.0000, 0.5000, 0.0000), Mg at (0.0000, 0.0000, 0.5000), In at (0.5000, 0.5000, 0.5000) and Ga at (0.5000, 0.5000, 0.0000).

---

This record from Alexandria via LeMat-Bulk describes a relaxed BaMnIn2Ga crystal. The functional is GGA-PBE.

As for the crystal system: tetragonal. The calculation puts the formation energy at -80 kJ/mol of formula units. Its total moment is 0.0 Bohr magnetons per cell. The total energy comes out at -4.086 eV/atom.

It has space group P4/mmm (No. 123), with a = 5.1071 Å, b = 5.1071 Å, c = 4.8607 Å, α = 90.00°, β = 90.00° and γ = 90.00°. The distinct sites, in fractional coordinates, are Ba at (0.0000, 0.0000, 0.0000), Mn at (0.5000, 0.5000, 0.5000), In at (0.0000, 0.5000, 0.5000) and Ga at (0.5000, 0.5000, 0.0000).

---

This record from Alexandria via LeMat-Bulk describes a relaxed BaIn2GaMo crystal. The functional is GGA-PBE.

As for the crystal system: tetragonal. The calculation puts the formation energy at 254 kJ/mol of formula units. Its total moment is 0.0 Bohr magnetons per cell. The total energy comes out at -3.725 eV/atom.

It has space group P4/mmm (No. 123), with a = 5.3872 Å, b = 5.3872 Å, c = 5.6313 Å, α = 90.00°, β = 90.00° and γ = 90.00°. The distinct sites, in fractional coordinates, are Ba at (0.0000, 0.0000, 0.0000), In at (0.0000, 0.5000, 0.5000), Ga at (0.5000, 0.5000, 0.0000) and Mo at (0.0000, 0.0000, 0.5000).